1.
LiReAu2 | meta-GGA SCAN | single point on PBEsol structure

abc: 9.004 2.645 5.249
angles: 90.00 95.84 90.00
Space group C2/m (No. 12)
Unique sites:
Li 0.000 0.000 0.000 [2 per cell]
Re 0.000 0.500 0.500 [2 per cell]
Au 0.243 0.000 0.750 [4 per cell]

Properties
relative energy among the computed polymorphs = 0.107 eV per atom
E_form = 293 meV/atom

=====

2.
HgH12C2Br4N6 | meta-GGA SCAN | single point on PBEsol structure

abc: 10.217 11.041 12.964
angles: 90.00 108.71 90.00
Space group C2/c (No. 15)
Unique sites:
Hg 0.000 0.211 0.250 [4 per cell]
H 0.010 0.157 0.954 [8 per cell]
H 0.065 0.468 0.607 [8 per cell]
H 0.116 0.335 0.558 [8 per cell]
H 0.137 0.465 0.834 [8 per cell]
H 0.145 0.152 0.897 [8 per cell]
H 0.217 0.324 0.836 [8 per cell]
C 0.059 0.319 0.898 [8 per cell]
Br 0.128 0.107 0.433 [8 per cell]
Br 0.189 0.365 0.220 [8 per cell]
N 0.041 0.381 0.579 [8 per cell]
N 0.074 0.201 0.919 [8 per cell]
N 0.146 0.376 0.857 [8 per cell]

Properties
DFT total energy = -1096.83 eV/cell